! Ca2TlWO6 (PBE with a Hubbard U, relaxed); values from VASP
! Total moment: 0.7 μB per cell
! DFT total energy: -6.52 eV/atom
! Symmetry: R3, No. 146
! V: 152.32 Å³/cell
&SYSTEM
  ibrav = 0, nat = 10, ntyp = 4
/
ATOMIC_SPECIES
Ca 40.08 Ca.upf
Tl 204.38 Tl.upf
W 183.84 W.upf
O 16.00 O.upf
ATOMIC_POSITIONS crystal
Ca 0.5269 0.5269 0.4192
Ca 0.0134 0.0134 0.9597
Tl 0.7851 0.7853 0.6443
W 0.3213 0.3212 0.0362
O 0.5546 0.2554 0.2097
O 0.2557 0.9803 0.2095
O 0.9804 0.5545 0.2097
O 0.3903 0.6811 0.7757
O 0.6811 0.1530 0.7756
O 0.1528 0.3904 0.7757
CELL_PARAMETERS angstrom
-5.6620 0.8634 -0.9182
-3.9042 -3.5473 2.4134
-3.3987 2.1996 4.7063